This record from the Alexandria database describes a relaxed structure of NdZn3IrPt. The functional is PBE-GGA.

Cell lengths 6.8482, 6.8482, 5.5081 Å; angles 90.00, 90.00, 108.11 degrees
Fractional positions:
Nd (0.2069, 0.7931, 0.7500)
Nd (0.7931, 0.2069, 0.2500)
Zn (0.2414, 0.2414, 0.0000)
Zn (0.2414, 0.2414, 0.5000)
Zn (0.3215, 0.6785, 0.2500)
Zn (0.6785, 0.3215, 0.7500)
Zn (0.7586, 0.7586, 0.0000)
Zn (0.7586, 0.7586, 0.5000)
Ir (0.4554, 0.5446, 0.7500)
Ir (0.5446, 0.4554, 0.2500)
Pt (0.0922, 0.9078, 0.2500)
Pt (0.9078, 0.0922, 0.7500)

Calculated values
Space group: No. 63
Electronic total energy, hartree per atom: -0.1575
Energy relative to the elements, eV per atom: -0.37
Spin magnetization, μB/f.u.: 0.0